This record from the Alexandria database describes a relaxed structure of Ca2TbTmTe4. The functional is GGA-PBE.

Results
Energy in eV per formula unit: -37.142
Energy relative to the elements, uncorrected in eV per atom: -1.434

Cell lengths 7.590, 4.384, 7.738 Å; angles 90.00, 109.14, 90.00 degrees
Space group P2/m (No. 10)
Inequivalent atoms, fractional coordinates:
Ca (0.000, 0.000, 0.000)
Ca (0.500, 0.500, 0.000)
Tb (0.000, 0.500, 0.500)
Tm (0.500, 0.000, 0.500)
Te (0.251, 0.000, 0.745)
Te (0.256, 0.500, 0.258)

---

This record from the Alexandria database describes a relaxed structure of LiNpPaS4. The functional is GGA-PBE.

Results
Energy in eV per formula unit: -51.025
Energy relative to the elements, uncorrected in eV per atom: -1.452

Cell lengths 7.939, 8.027, 11.293 Å; angles 90.00, 90.00, 90.00 degrees
Space group Imma (No. 74)
Inequivalent atoms, fractional coordinates:
Li (0.000, 0.250, 0.132)
Np (0.250, 0.250, 0.750)
Pa (0.000, 0.000, 0.500)
S (0.000, 0.012, 0.739)
S (0.234, 0.250, 0.504)

---

This record from the Alexandria database describes a relaxed structure of RbCdAg2Ge. The functional is GGA-PBE.

Results
Formation energy in eV/atom: 0.10
Energy relative to the lowest polymorph listed for this composition in kJ/mol of atoms: 0.0
Energy in eV per formula unit: -11.701

Cell lengths 5.111, 5.111, 5.600 Å; angles 90.00, 90.00, 90.00 degrees
Space group P4/mmm (No. 123)
Inequivalent atoms, fractional coordinates:
Rb (0.000, 0.000, 0.000)
Cd (0.500, 0.500, 0.000)
Ag (0.000, 0.500, 0.500)
Ge (0.500, 0.500, 0.500)

---

This record from the Alexandria database describes a relaxed structure of Na2CdIrCl8. The functional is GGA-PBE.

Results
Energy in eV per formula unit: -39.350
Energy relative to the elements, uncorrected in eV per atom: -1.014

Cell lengths 6.131, 8.105, 6.323 Å; angles 90.00, 94.82, 90.00 degrees
Space group P2/m (No. 10)
Inequivalent atoms, fractional coordinates:
Na (0.000, 0.248, 0.000)
Cd (0.500, 0.500, 0.500)
Ir (0.500, 0.000, 0.500)
Cl (0.244, 0.500, 0.176)
Cl (0.279, 0.000, 0.182)
Cl (0.285, 0.209, 0.634)

---

This record from the Alexandria database describes a relaxed structure of AcLuPdPt. The functional is GGA-PBE.

Results
Formation energy in eV/atom: -0.90
Energy in eV per formula unit: -23.445

Cell lengths 7.260, 7.260, 7.260 Å; angles 90.00, 90.00, 90.00 degrees
Space group F-43m (No. 216)
Inequivalent atoms, fractional coordinates:
Ac (0.000, 0.000, 0.000)
Lu (0.000, 0.000, 0.500)
Pd (0.250, 0.250, 0.250)
Pt (0.250, 0.250, 0.750)

---

This record from the Alexandria database describes a relaxed structure of PbIF. The functional is GGA-PBE.

Results
Energy relative to the lowest polymorph listed for this composition in kJ/mol of atoms: 2.7
Energy in eV per formula unit: -11.572
Energy relative to the elements, uncorrected in eV per atom: -1.481

Cell lengths 12.337, 4.452, 7.236 Å; angles 90.00, 112.56, 90.00 degrees
Space group C2/m (No. 12)
Inequivalent atoms, fractional coordinates:
Pb (0.178, 0.000, 0.247)
I (0.088, 0.500, 0.826)
F (0.243, 0.500, 0.390)

---

This record from the Alexandria database describes a relaxed structure of CsCaNb. The functional is GGA-PBE.

Results
Formation energy in eV/atom: 1.02
Energy relative to the lowest polymorph listed for this composition in kJ/mol of atoms: 60.1
Energy in eV per formula unit: -9.858

Cell lengths 6.1166, 6.1166, 9.0296 Å; angles 90.00, 90.00, 120.00 degrees
Space group P-6m2 (No. 187)
Inequivalent atoms, fractional coordinates:
Cs (0.0000, 0.0000, 0.0000)
Cs (0.0000, 0.0000, 0.5000)
Ca (0.6667, 0.3333, 0.1954)
Nb (0.3333, 0.6667, 0.1191)

---

This record from the Alexandria database describes a relaxed structure of TbPm7Nd2. The functional is GGA-PBE.

Results
Formation energy in eV/atom: 0.15
Energy in eV per formula unit: -45.918

Cell lengths 6.734, 29.437, 3.494 Å; angles 90.00, 90.00, 90.00 degrees
Space group Cmmm (No. 65)
Inequivalent atoms, fractional coordinates:
Tb (0.000, 0.000, 0.000)
Pm (0.000, 0.188, 0.000)
Pm (0.000, 0.500, 0.500)
Pm (0.245, 0.098, 0.500)
Nd (0.000, 0.295, 0.500)

---

Number 1: total moment 0.00 μB/f.u.. Number 2: total moment 5.00 μB/f.u.. Number 3: total moment 0.00 μB/f.u.. Number 4: total moment 1.08 μB/f.u.. Number 5: total moment 0.00 μB/f.u.. Number 6: total moment 0.00 μB/f.u.. Number 7: total moment 0.00 μB/f.u.. Number 8: total moment 0.00 μB/f.u..